Here is a relaxed VGePd crystal from Alexandria via LeMat-Bulk. Energies are from PBE.

- Calculated volume: 49.7 Å³/f.u.
- Formation energy: 0.063 eV per atom
- Space group: R-3m

CIF file:
```
data_VGePd
_chemical_formula_sum 'V2 Ge2 Pd2'
_space_group_name_H-M_alt 'P 1'
_space_group_IT_number 1
_space_group_name_Hall 'P 1'
_cell_length_a 4.4107
_cell_length_b 4.4107
_cell_length_c 6.4239
_cell_angle_alpha 69.92
_cell_angle_beta 69.92
_cell_angle_gamma 60.00
loop_
_atom_site_label
_atom_site_fract_x
_atom_site_fract_y
_atom_site_fract_z
Pd1 0.5793 0.5793 0.2621
Pd2 0.4207 0.4207 0.7379
V1 0.2774 0.2774 0.1679
V2 0.7226 0.7226 0.8321
Ge1 0.8787 0.8787 0.3638
Ge2 0.1213 0.1213 0.6362
```

Here is a relaxed Rb2Tl2As crystal from Alexandria via LeMat-Bulk. Energies are from PBE.

- Calculated volume: 190.6 Å³/f.u.
- Formation energy: -0.069 eV per atom
- Space group: P4/mbm

CIF file:
```
data_Rb2Tl2As
_chemical_formula_sum 'Rb4 Tl4 As2'
_space_group_name_H-M_alt 'P 1'
_space_group_IT_number 1
_space_group_name_Hall 'P 1'
_cell_length_a 7.9742
_cell_length_b 7.9742
_cell_length_c 5.9937
_cell_angle_alpha 90.00
_cell_angle_beta 90.00
_cell_angle_gamma 90.00
loop_
_atom_site_label
_atom_site_fract_x
_atom_site_fract_y
_atom_site_fract_z
Tl1 0.3629 0.8629 0.0000
Tl2 0.8629 0.6371 0.0000
Tl3 0.6371 0.1371 0.0000
Tl4 0.1371 0.3629 0.0000
As1 0.0000 0.0000 0.0000
As2 0.5000 0.5000 0.0000
Rb1 0.1864 0.6864 0.5000
Rb2 0.6864 0.8136 0.5000
Rb3 0.8136 0.3136 0.5000
Rb4 0.3136 0.1864 0.5000
```

Here is a relaxed MgMn3I8 crystal from Alexandria via LeMat-Bulk. Energies are from PBE.

- Formation energy without anion corrections: -586 meV per atom
- Calculated volume: 461.8 Å³/f.u.
- Space group: C2/m

CIF file:
```
data_MgMn3I8
_chemical_formula_sum 'Mg1 Mn3 I8'
_space_group_name_H-M_alt 'P 1'
_space_group_IT_number 1
_space_group_name_Hall 'P 1'
_cell_length_a 8.3371
_cell_length_b 8.3380
_cell_length_c 9.1064
_cell_angle_alpha 117.83
_cell_angle_beta 90.00
_cell_angle_gamma 120.00
loop_
_atom_site_label
_atom_site_fract_x
_atom_site_fract_y
_atom_site_fract_z
Mg1 0.0000 0.0000 0.0000
Mn1 0.5000 0.0000 0.0000
Mn2 0.5000 0.5000 0.0000
Mn3 0.0000 0.5000 0.0000
I1 0.2604 0.5209 0.7852
I2 0.7396 0.4791 0.2148
I3 0.2618 0.0205 0.7834
I4 0.7587 0.0205 0.7834
I5 0.7584 0.5169 0.7834
I6 0.2416 0.4831 0.2166
I7 0.2413 0.9795 0.2166
I8 0.7382 0.9795 0.2166
```

Here is a relaxed SrS2F crystal from Alexandria via LeMat-Bulk. Energies are from PBE.

- Formation energy without anion corrections: -864 meV per atom
- Calculated volume: 119.6 Å³/f.u.
- Space group: R-3m

CIF file:
```
data_SrS2F
_chemical_formula_sum 'Sr1 S2 F1'
_space_group_name_H-M_alt 'P 1'
_space_group_IT_number 1
_space_group_name_Hall 'P 1'
_cell_length_a 6.8910
_cell_length_b 6.8910
_cell_length_c 6.8910
_cell_angle_alpha 39.58
_cell_angle_beta 39.58
_cell_angle_gamma 39.58
loop_
_atom_site_label
_atom_site_fract_x
_atom_site_fract_y
_atom_site_fract_z
Sr1 0.5000 0.5000 0.5000
S1 0.8953 0.8953 0.8953
S2 0.1047 0.1047 0.1047
F1 0.0000 0.0000 0.0000
```

Here is a relaxed DyS8Br2 crystal from Alexandria via LeMat-Bulk. Energies are from PBE.

- Formation energy without anion corrections: -160 meV per atom
- Calculated volume: 402.5 Å³/f.u.
- Space group: C2/m

CIF file:
```
data_DyS8Br2
_chemical_formula_sum 'Dy1 S8 Br2'
_space_group_name_H-M_alt 'P 1'
_space_group_IT_number 1
_space_group_name_Hall 'P 1'
_cell_length_a 9.8215
_cell_length_b 9.2136
_cell_length_c 9.2135
_cell_angle_alpha 38.85
_cell_angle_beta 127.02
_cell_angle_gamma 127.02
loop_
_atom_site_label
_atom_site_fract_x
_atom_site_fract_y
_atom_site_fract_z
Dy1 0.0000 0.0000 0.0000
S1 0.0605 0.1549 0.6254
S2 0.9395 0.3746 0.8451
S3 0.8544 0.3010 0.3010
S4 0.1456 0.6990 0.6990
S5 0.0605 0.6254 0.1549
S6 0.9395 0.8451 0.3746
S7 0.2256 0.5141 0.5141
S8 0.7744 0.4859 0.4859
Br1 0.3540 0.1032 0.1032
Br2 0.6460 0.8968 0.8968
```

Here is a relaxed CuHg4S5 crystal from Alexandria via LeMat-Bulk. Energies are from PBE.

- Formation energy without anion corrections: -85 meV per atom
- Calculated volume: 250.0 Å³/f.u.
- Space group: P3m1

CIF file:
```
data_CuHg4S5
_chemical_formula_sum 'Cu2 Hg8 S10'
_space_group_name_H-M_alt 'P 1'
_space_group_IT_number 1
_space_group_name_Hall 'P 1'
_cell_length_a 4.1047
_cell_length_b 4.1047
_cell_length_c 34.2695
_cell_angle_alpha 90.00
_cell_angle_beta 90.00
_cell_angle_gamma 120.00
loop_
_atom_site_label
_atom_site_fract_x
_atom_site_fract_y
_atom_site_fract_z
Cu1 0.3333 0.6667 0.1077
Cu2 0.3333 0.6667 0.2954
Hg1 0.3333 0.6667 0.4895
Hg2 0.3333 0.6667 0.6984
Hg3 0.3333 0.6667 0.9071
Hg4 0.6667 0.3333 0.0116
Hg5 0.6667 0.3333 0.1980
Hg6 0.6667 0.3333 0.3843
Hg7 0.6667 0.3333 0.5940
Hg8 0.6667 0.3333 0.8028
S1 0.3333 0.6667 0.0406
S2 0.3333 0.6667 0.2285
S3 0.3333 0.6667 0.4155
S4 0.3333 0.6667 0.6238
S5 0.3333 0.6667 0.8322
S6 0.6667 0.3333 0.1240
S7 0.6667 0.3333 0.3107
S8 0.6667 0.3333 0.5197
S9 0.6667 0.3333 0.7280
S10 0.6667 0.3333 0.9362
```